# 1
This record from the Alexandria database describes an optimized crystal structure of Ce4CdGa. The functional is PBE.

Its crystal system is orthorhombic. The value obtained for the energy of formation is -0.177 eV/atom.

The space group is Immm (No. 71) and the conventional cell measures 5.314, 5.904 and 8.894 Å, with angles of 90.00, 90.00 and 90.00 degrees. The distinct sites, in fractional coordinates, are Ce at (0.000, 0.248, 0.157), Cd at (0.000, 0.000, 0.500) and Ga at (0.000, 0.500, 0.500).



# 2
This record from the Alexandria database describes an optimized crystal structure of Li2HgPd8. The functional is PBE.

Its crystal system is orthorhombic. The value obtained for the energy of formation is -0.126 eV/atom.

The space group is Immm (No. 71) and the conventional cell measures 4.096, 6.850 and 12.222 Å, with angles of 90.00, 90.00 and 90.00 degrees. The distinct sites, in fractional coordinates, are Li at (0.000, 0.000, 0.200), Hg at (0.000, 0.000, 0.500), Pd at (0.000, 0.193, 0.000), Pd at (0.000, 0.289, 0.341) and Pd at (0.000, 0.500, 0.154).



# 3
This record from the Alexandria database describes an optimized crystal structure of Ac8Pr3Tm. The functional is PBE.

Its crystal system is tetragonal. The value obtained for the energy of formation is 0.577 eV/atom.

The space group is I-42m (No. 121) and the conventional cell measures 9.349, 9.349 and 12.878 Å, with angles of 90.00, 90.00 and 90.00 degrees. The distinct sites, in fractional coordinates, are Ac at (0.131, 0.131, 0.257), Ac at (0.247, 0.247, 0.510), Pr at (0.000, 0.000, 0.000), Pr at (0.000, 0.500, 0.250) and Tm at (0.000, 0.000, 0.500).



# 4
This record from the Alexandria database describes an optimized crystal structure of Cs2RbSiS4. The functional is PBE.

For the total energy, the calculation gives -31.5 eV/f.u. Its crystal system is orthorhombic.

The space group is Fddd (No. 70, origin choice 2) and the conventional cell measures 7.910, 10.242 and 39.750 Å, with angles of 90.00, 90.00 and 90.00 degrees. The distinct sites, in fractional coordinates, are Cs at (0.125, 0.125, 0.321), Rb at (0.125, 0.125, 0.125), Si at (0.125, 0.125, 0.625) and S at (0.024, 0.260, 0.841).



# 5
This record from the Alexandria database describes an optimized crystal structure of Dy2Al2GaIr5. The functional is PBE.

Its crystal system is tetragonal. The value obtained for the energy of formation is -0.730 eV/atom.

The space group is P4/mbm (No. 127) and the conventional cell measures 9.845, 9.845 and 3.471 Å, with angles of 90.00, 90.00 and 90.00 degrees. The distinct sites, in fractional coordinates, are Dy at (0.175, 0.325, 0.000), Al at (0.125, 0.625, 0.000), Ga at (0.000, 0.000, 0.000), Ir at (0.000, 0.500, 0.500) and Ir at (0.064, 0.796, 0.500).



# 6
This record from the Alexandria database describes an optimized crystal structure of LaCoMo. The functional is PBE.

Its crystal system is monoclinic. The value obtained for the energy of formation is 0.088 eV/atom.

The space group is P2_1/m (No. 11) and the conventional cell measures 4.311, 4.225 and 6.691 Å, with angles of 90.00, 91.51 and 90.00 degrees. The distinct sites, in fractional coordinates, are La at (0.240, 0.250, 0.370), Co at (0.301, 0.250, 0.824) and Mo at (0.232, 0.750, 0.990).



# 7
This record from the Alexandria database describes an optimized crystal structure of K2NaDyCl6. The functional is PBE.

For the total energy, the calculation gives -39.8 eV/f.u. Its crystal system is cubic.

The space group is Fm-3m (No. 225) and the conventional cell measures 10.712, 10.712 and 10.712 Å, with angles of 90.00, 90.00 and 90.00 degrees. The distinct sites, in fractional coordinates, are K at (0.250, 0.250, 0.250), Na at (0.000, 0.000, 0.000), Dy at (0.000, 0.000, 0.500) and Cl at (0.000, 0.000, 0.255).



# 8
This record from the Alexandria database describes an optimized crystal structure of Ac2LaNd5Ho. The functional is PBE.

Its crystal system is orthorhombic. The value obtained for the energy of formation is 0.134 eV/atom.

The space group is Cmc2_1 (No. 36) and the conventional cell measures 5.892, 20.701 and 11.033 Å, with angles of 90.00, 90.00 and 90.00 degrees. The distinct sites, in fractional coordinates, are Ac at (0.000, 0.115, 0.000), Ac at (0.000, 0.116, 0.587), La at (0.000, 0.412, 0.734), Nd at (0.000, 0.019, 0.292), Nd at (0.000, 0.282, 0.584), Nd at (0.000, 0.295, 0.976), Nd at (0.000, 0.386, 0.289), Nd at (0.000, 0.485, 0.012) and Ho at (0.000, 0.206, 0.280).



Question: What is the formula in the third record?
Answer: Ac8Pr3Tm